Record 1
VASP calculation (GGA-PBE) on a relaxed Zr10Ga3Bi3 crystal.

a = 8.4391 Å, b = 8.4391 Å, c = 5.7811 Å
α = 90.00°, β = 90.00°, γ = 120.00°
Space group P-62m (No. 189)
Inequivalent atoms, fractional coordinates:
Zr  0.0000  0.2522  0.0000
Zr  0.0000  0.7594  0.5000
Zr  0.3333  0.6667  0.2385
Ga  0.0000  0.6146  0.0000
Bi  0.0000  0.3986  0.5000

Output
Calculated volume: 356.6 Å³ per cell
Calculated formation energy: -442 meV/atom
Total magnetic moment: 0.0 μB per cell

Record 2
VASP calculation (GGA-PBE) on a relaxed Zr12GaBi6 crystal.

a = 12.2340 Å, b = 12.2340 Å, c = 11.4844 Å
α = 90.00°, β = 90.00°, γ = 120.00°
Space group R-3 (No. 148, hexagonal axes)
Inequivalent atoms, fractional coordinates:
Zr  0.0339  0.1683  0.3812
Zr  0.0715  0.1870  0.8489
Ga  0.0000  0.0000  0.0000
Bi  0.0235  0.4063  0.2959

Output
Calculated volume: 1488.6 Å³ per cell
Calculated formation energy: -29 meV/atom
Total magnetic moment: 0.0 μB per cell

Record 3
VASP calculation (GGA-PBE) on a relaxed GdBi3 crystal.

a = 6.8856 Å, b = 6.8856 Å, c = 5.9857 Å
α = 90.00°, β = 90.00°, γ = 120.00°
Space group P6_3/mmc (No. 194)
Inequivalent atoms, fractional coordinates:
Gd  0.3333  0.6667  0.2500
Bi  0.1734  0.3468  0.7500

Output
Calculated volume: 245.8 Å³ per cell
Calculated formation energy: -387 meV/atom
Total magnetic moment: 14.0 μB per cell

Record 4
VASP calculation (GGA-PBE) on a relaxed GdBi2 crystal.

a = 5.897 Å, b = 5.888 Å, c = 6.035 Å
α = 90.00°, β = 119.13°, γ = 90.00°
Space group C2/m (No. 12)
Inequivalent atoms, fractional coordinates:
Gd  0.000  0.000  0.000
Bi  0.151  0.500  0.303

Output
Calculated volume: 183.0 Å³ per cell
Calculated formation energy: -513 meV/atom
Total magnetic moment: 14.3 μB per cell

Record 5
VASP calculation (GGA-PBE) on a relaxed GdBi3 crystal.

a = 4.673 Å, b = 11.235 Å, c = 4.671 Å
α = 90.00°, β = 90.00°, γ = 90.00°
Space group Imm2 (No. 44)
Inequivalent atoms, fractional coordinates:
Gd  0.000  0.000  0.000
Bi  0.000  0.250  0.496
Bi  0.000  0.500  0.000

Output
Calculated volume: 245.2 Å³ per cell
Calculated formation energy: -404 meV/atom
Total magnetic moment: 13.8 μB per cell

Record 6
VASP calculation (GGA-PBE) on a relaxed GdBi2 crystal.

a = 9.251 Å, b = 9.251 Å, c = 9.251 Å
α = 90.00°, β = 90.00°, γ = 90.00°
Space group Fd-3m (No. 227, origin choice 2)
Inequivalent atoms, fractional coordinates:
Gd  0.125  0.125  0.125
Bi  0.000  0.000  0.500

Output
Calculated volume: 791.6 Å³ per cell
Calculated formation energy: -165 meV/atom
Total magnetic moment: 60.1 μB per cell

Record 7
VASP calculation (GGA-PBE) on a relaxed GdBi5 crystal.

a = 4.748 Å, b = 16.484 Å, c = 4.795 Å
α = 90.00°, β = 90.00°, γ = 90.00°
Space group Cmmm (No. 65)
Inequivalent atoms, fractional coordinates:
Gd  0.000  0.000  0.000
Bi  0.000  0.167  0.500
Bi  0.000  0.348  0.000
Bi  0.000  0.500  0.500

Output
Calculated volume: 375.3 Å³ per cell
Calculated formation energy: -246 meV/atom
Total magnetic moment: 13.9 μB per cell

Record 8
VASP calculation (GGA-PBE) on a relaxed GdBi6 crystal.

a = 8.777 Å, b = 8.777 Å, c = 8.777 Å
α = 90.00°, β = 90.00°, γ = 90.00°
Space group Im-3m (No. 229)
Inequivalent atoms, fractional coordinates:
Gd  0.000  0.000  0.000
Bi  0.000  0.250  0.500

Output
Calculated volume: 676.1 Å³ per cell
Calculated formation energy: 473 meV/atom
Total magnetic moment: 14.6 μB per cell

Record 9
VASP calculation (GGA-PBE) on a relaxed Gd2Bi crystal.

a = 4.117 Å, b = 4.117 Å, c = 10.661 Å
α = 90.00°, β = 90.00°, γ = 90.00°
Space group I4/mmm (No. 139)
Inequivalent atoms, fractional coordinates:
Gd  0.000  0.000  0.157
Bi  0.000  0.000  0.500

Output
Calculated volume: 180.7 Å³ per cell
Calculated formation energy: -555 meV/atom
Total magnetic moment: 30.8 μB per cell

Record 10
VASP calculation (GGA-PBE) on a relaxed GdBi3 crystal.

a = 4.554 Å, b = 6.332 Å, c = 4.717 Å
α = 90.00°, β = 90.00°, γ = 90.00°
Space group Pmm2 (No. 25)
Inequivalent atoms, fractional coordinates:
Gd  0.000  0.000  0.000
Bi  0.000  0.500  0.833
Bi  0.500  0.000  0.487
Bi  0.500  0.500  0.276

Output
Calculated volume: 136.0 Å³ per cell
Calculated formation energy: -393 meV/atom
Total magnetic moment: 7.0 μB per cell

Record 11
VASP calculation (GGA-PBE) on a relaxed GdGe2Bi crystal.

a = 4.8587 Å, b = 4.8587 Å, c = 21.2238 Å
α = 90.00°, β = 90.00°, γ = 120.00°
Space group R-3m (No. 166, hexagonal axes)
Inequivalent atoms, fractional coordinates:
Gd  0.0000  0.0000  0.0000
Ge  0.0000  0.0000  0.3739
Bi  0.0000  0.0000  0.5000

Output
Calculated volume: 433.9 Å³ per cell
Distance to the lowest polymorph of the same formula: 2.41 eV per formula unit
Calculated formation energy: 252 meV/atom
Total magnetic moment: 21.0 μB per cell

Record 12
VASP calculation (GGA-PBE) on a relaxed GdGeBi2 crystal.

a = 4.791 Å, b = 4.791 Å, c = 4.771 Å
α = 90.00°, β = 90.00°, γ = 90.00°
Space group P4/mmm (No. 123)
Inequivalent atoms, fractional coordinates:
Gd  0.000  0.000  0.000
Ge  0.500  0.500  0.000
Bi  0.000  0.500  0.500

Output
Calculated volume: 109.5 Å³ per cell
Distance to the lowest polymorph of the same formula: 0.00 eV per formula unit
Calculated formation energy: -338 meV/atom
Total magnetic moment: 6.9 μB per cell

Record 13
VASP calculation (GGA-PBE) on a relaxed GdGe2Bi crystal.

a = 4.723 Å, b = 4.723 Å, c = 4.286 Å
α = 90.00°, β = 90.00°, γ = 90.00°
Space group P4/mmm (No. 123)
Inequivalent atoms, fractional coordinates:
Gd  0.000  0.000  0.000
Ge  0.000  0.500  0.500
Bi  0.500  0.500  0.000

Output
Calculated volume: 95.6 Å³ per cell
Distance to the lowest polymorph of the same formula: 0.00 eV per formula unit
Calculated formation energy: -350 meV/atom
Total magnetic moment: 6.8 μB per cell

Record 14
VASP calculation (GGA-PBE) on a relaxed GdGeBi2 crystal.

a = 3.8147 Å, b = 3.8147 Å, c = 30.6742 Å
α = 90.00°, β = 90.00°, γ = 120.00°
Space group R-3m (No. 166, hexagonal axes)
Inequivalent atoms, fractional coordinates:
Gd  0.0000  0.0000  0.0000
Ge  0.0000  0.0000  0.5000
Bi  0.0000  0.0000  0.1033

Output
Calculated volume: 386.6 Å³ per cell
Distance to the lowest polymorph of the same formula: 2.24 eV per formula unit
Calculated formation energy: 223 meV/atom
Total magnetic moment: 22.2 μB per cell

Record 15
VASP calculation (GGA-PBE) on a relaxed GdGeBi crystal.

a = 4.9126 Å, b = 4.9126 Å, c = 3.9826 Å
α = 90.00°, β = 90.00°, γ = 120.00°
Space group P3m1 (No. 156)
Inequivalent atoms, fractional coordinates:
Gd  0.0000  0.0000  0.0000
Ge  0.3333  0.6667  0.5775
Bi  0.6667  0.3333  0.4776

Output
Calculated volume: 83.2 Å³ per cell
Calculated formation energy: -304 meV/atom
Total magnetic moment: 7.0 μB per cell

Record 16
VASP calculation (GGA-PBE) on a relaxed GdBiH crystal.

a = 4.509 Å, b = 4.509 Å, c = 7.543 Å
α = 90.00°, β = 90.00°, γ = 90.00°
Space group I4mm (No. 107)
Inequivalent atoms, fractional coordinates:
Gd  0.000  0.000  0.000
Bi  0.000  0.000  0.564
H  0.000  0.000  0.276

Output
Calculated volume: 153.4 Å³ per cell
Distance to the lowest polymorph of the same formula: 1.55 eV per formula unit
Total magnetic moment: 13.9 μB per cell

Record 17
VASP calculation (GGA-PBE) on a relaxed GdBiH crystal.

a = 3.8412 Å, b = 3.8412 Å, c = 4.8943 Å
α = 90.00°, β = 90.00°, γ = 120.00°
Space group P-6m2 (No. 187)
Inequivalent atoms, fractional coordinates:
Gd  0.0000  0.0000  0.0000
Bi  0.6667  0.3333  0.5000
H  0.3333  0.6667  0.0000

Output
Calculated volume: 62.5 Å³ per cell
Distance to the lowest polymorph of the same formula: 0.00 eV per formula unit
Total magnetic moment: 6.9 μB per cell

Record 18
VASP calculation (GGA-PBE) on a relaxed Gd2BiH crystal.

a = 3.7083 Å, b = 3.7083 Å, c = 23.4673 Å
α = 90.00°, β = 90.00°, γ = 120.00°
Space group R-3m (No. 166, hexagonal axes)
Inequivalent atoms, fractional coordinates:
Gd  0.0000  0.0000  0.2255
Bi  0.0000  0.0000  0.0000
H  0.0000  0.0000  0.5000

Output
Calculated volume: 279.5 Å³ per cell
DFT total energy: -111.14 eV per cell
Total magnetic moment: 44.2 μB per cell

Record 19
VASP calculation (GGA-PBE) on a relaxed Gd3BiH crystal.

a = 4.910 Å, b = 4.910 Å, c = 4.910 Å
α = 90.00°, β = 90.00°, γ = 90.00°
Space group Pm-3m (No. 221)
Inequivalent atoms, fractional coordinates:
Gd  0.000  0.000  0.500
Bi  0.500  0.500  0.500
H  0.000  0.000  0.000

Output
Calculated volume: 118.3 Å³ per cell
DFT total energy: -51.89 eV per cell
Total magnetic moment: 22.6 μB per cell

Record 20
VASP calculation (GGA-PBE) on a relaxed GdBiH crystal.

a = 3.687 Å, b = 12.240 Å, c = 6.409 Å
α = 90.00°, β = 90.00°, γ = 90.00°
Space group Cmcm (No. 63)
Inequivalent atoms, fractional coordinates:
Gd  0.000  0.143  0.250
Bi  0.000  0.127  0.750
H  0.000  0.434  0.750

Output
Calculated volume: 289.2 Å³ per cell
Distance to the lowest polymorph of the same formula: 0.64 eV per formula unit
Total magnetic moment: 27.8 μB per cell